{"formula": "DyAlB4", "functional": "PBE", "state": "optimized geometry", "relative_energy_ev_per_fu": 0.00, "spacegroup": "P6/mmm (191)", "cell": [[3.1180, 0.0000, 0.0000], [-1.5590, 2.7003, 0.0000], [0.0000, 0.0000, 7.1970]], "species": ["Dy", "Al", "B", "B", "B", "B"], "fractional_positions": [[0.0000, 0.0000, 0.0000], [0.0000, 0.0000, 0.5000], [0.3333, 0.6667, 0.2797], [0.3333, 0.6667, 0.7203], [0.6667, 0.3333, 0.2797], [0.6667, 0.3333, 0.7203]]}


{"formula": "NdGdAu6", "functional": "PBE", "state": "optimized geometry", "formation_enthalpy_0k_ev_per_fu": -5.537, "spacegroup": "Pmm2 (25)", "cell": [[5.0738, 0.0000, 0.0000], [0.0000, 6.2781, 0.0000], [0.0000, 0.0000, 5.1677]], "species": ["Nd", "Gd", "Au", "Au", "Au", "Au", "Au", "Au"], "fractional_positions": [[0.0000, 0.0000, 0.0000], [0.5000, 0.5000, 0.3133], [0.0000, 0.2640, 0.4965], [0.0000, 0.5000, 0.9899], [0.0000, 0.7360, 0.4965], [0.5000, 0.0000, 0.3341], [0.5000, 0.2476, 0.8169], [0.5000, 0.7524, 0.8169]]}


Quick rundown of uncorrected energy, same order as above: -36.80 -34.55 eV for the cell shown